No. 1
DFT (PBE-GGA) results for a geometry-optimized BaCa structure.

```
BaCa
1.0
10.367 0.000 0.000
0.000 9.264 0.000
0.000 0.000 4.389
Ca Ba
4 4
direct
0.000 0.285 0.500 Ca
0.000 0.715 0.500 Ca
0.500 0.785 0.500 Ca
0.500 0.215 0.500 Ca
0.220 0.000 0.000 Ba
0.780 0.000 0.000 Ba
0.720 0.500 0.000 Ba
0.280 0.500 0.000 Ba
```

For the uncorrected energy, the calculation gives -15.4 eV per cell. The calculation puts the calculated formation energy at 32 meV per atom. The value obtained for the energy above the most stable polymorph in this dataset is 0.02 eV per formula unit. The total magnetization comes out at 0.00 μB/f.u.

No. 2
DFT (PBE-GGA) results for a geometry-optimized BaCa structure.

```
BaCa
1.0
4.140 0.000 0.391
0.000 6.784 0.000
-0.661 0.000 7.217
Ca Ba
2 2
direct
0.748 0.750 0.584 Ca
0.252 0.250 0.416 Ca
0.248 0.750 0.093 Ba
0.752 0.250 0.907 Ba
```

For the uncorrected energy, the calculation gives -7.7 eV per cell. The calculation puts the calculated formation energy at 38 meV per atom. The value obtained for the energy above the most stable polymorph in this dataset is 0.03 eV per formula unit. The total magnetization comes out at 0.00 μB/f.u.

No. 3
DFT (PBE-GGA) results for a geometry-optimized BaCa structure.

```
BaCa
1.0
-0.699 -1.746 5.988
5.539 2.162 -2.013
-2.023 6.813 1.750
Ca Ba
2 2
direct
0.000 0.000 0.000 Ca
0.000 0.000 0.500 Ca
0.333 0.667 0.250 Ba
0.667 0.333 0.750 Ba
```

For the uncorrected energy, the calculation gives -6.4 eV per cell. The calculation puts the calculated formation energy at 351 meV per atom. The value obtained for the energy above the most stable polymorph in this dataset is 0.66 eV per formula unit. The total magnetization comes out at 0.00 μB/f.u.